VASP calculation (PBE+U) on a relaxed Na2NpWO6 crystal.

Results
Volume: 14.2 Å³ per atom
Symmetry: P4mm, No. 99
VASP energy: -0.2765 Ha/atom

a b c (Å): 5.8375 5.8375 4.1711
angles (deg): 90.00 90.00 90.00
Positions (direct):
Na  0.0000  0.5000  0.0000
Na  0.5000  0.0000  0.0000
Np  0.0000  0.0000  0.6046
W  0.5000  0.5000  0.5570
O  0.0000  0.0000  0.1063
O  0.2599  0.2599  0.6293
O  0.2599  0.7401  0.6293
O  0.5000  0.5000  0.1128
O  0.7401  0.2599  0.6293
O  0.7401  0.7401  0.6293